# 1
Entry from Alexandria via LeMat-Bulk: a geometry-optimized La6TbSm3 structure (PBE-GGA).

Cell lengths 3.6356, 12.1168, 16.9067 Å; angles 90.00, 102.33, 90.00 degrees
Last column: nearest neighbours and their distance in Å.
Fractional coordinates of all 20 atoms:
1 La 0.0503 0.2361 0.0500  1 Tb 3.30, 4 Sm 3.48-3.49, 6 La 3.54-3.64
2 La 0.0503 0.2639 0.5500  1 Tb 3.30, 4 Sm 3.48-3.49, 6 La 3.54-3.64
3 La 0.2934 0.5995 0.2952  4 Sm 3.54-3.65, 6 La 3.54-3.64
4 La 0.2934 0.9005 0.7952  4 Sm 3.54-3.65, 6 La 3.54-3.64
5 La 0.3649 0.2377 0.3645  6 La 3.57-3.64, 2 Sm 3.89-4.00
6 La 0.3649 0.2623 0.8645  6 La 3.57-3.64, 2 Sm 3.89-4.00
7 La 0.6351 0.7377 0.1355  6 La 3.57-3.64, 2 Sm 3.89-4.00
8 La 0.6351 0.7623 0.6355  6 La 3.57-3.64, 2 Sm 3.89-4.00
9 La 0.7066 0.0995 0.2048  4 Sm 3.54-3.65, 6 La 3.54-3.64
10 La 0.7066 0.4005 0.7048  4 Sm 3.54-3.65, 6 La 3.54-3.64
11 La 0.9497 0.7361 0.4500  1 Tb 3.30, 4 Sm 3.48-3.49, 6 La 3.54-3.64
12 La 0.9497 0.7639 0.9500  1 Tb 3.30, 4 Sm 3.48-3.49, 6 La 3.54-3.64
13 Tb 0.0000 0.0000 0.5000  2 La 3.30, 2 Tb 3.64
14 Tb 0.0000 0.5000 0.0000  2 La 3.30, 2 Tb 3.64
15 Sm 0.3162 0.6008 0.8158  5 La 3.48-3.65, 2 Sm 3.64, 2 Tb 3.75
16 Sm 0.3162 0.8992 0.3158  5 La 3.48-3.65, 2 Sm 3.64, 2 Tb 3.75
17 Sm 0.5000 0.0000 0.0000  8 La 3.49-3.89, 2 Sm 3.64
18 Sm 0.5000 0.5000 0.5000  8 La 3.49-3.89, 2 Sm 3.64
19 Sm 0.6838 0.1008 0.6842  5 La 3.48-3.65, 2 Sm 3.64, 2 Tb 3.75
20 Sm 0.6838 0.3992 0.1842  5 La 3.48-3.65, 2 Sm 3.64, 2 Tb 3.75

***

# 2
Entry from Alexandria via LeMat-Bulk: a geometry-optimized La12TbSm6 structure (PBE-GGA).

Cell lengths 9.3794, 9.3794, 9.3794 Å; angles 106.86, 106.86, 106.86 degrees
Last column: nearest neighbours and their distance in Å.
Fractional coordinates of all 19 atoms:
1 La 0.1179 0.2838 0.8155  3 La 3.37-3.72, 3 Sm 3.41-3.64, 1 Tb 3.66
2 La 0.1845 0.8821 0.7162  3 La 3.37-3.72, 3 Sm 3.41-3.64, 1 Tb 3.66
3 La 0.1936 0.4855 0.5824  3 Sm 3.35-3.58, 6 La 3.37-3.72
4 La 0.2838 0.8155 0.1179  3 La 3.37-3.72, 3 Sm 3.41-3.64, 1 Tb 3.66
5 La 0.4176 0.8064 0.5145  3 Sm 3.35-3.58, 6 La 3.37-3.72
6 La 0.4855 0.5824 0.1936  3 Sm 3.35-3.58, 6 La 3.37-3.72
7 La 0.5145 0.4176 0.8064  3 Sm 3.35-3.58, 6 La 3.37-3.72
8 La 0.5824 0.1936 0.4855  3 Sm 3.35-3.58, 6 La 3.37-3.72
9 La 0.7162 0.1845 0.8821  3 La 3.37-3.72, 3 Sm 3.41-3.64, 1 Tb 3.66
10 La 0.8064 0.5145 0.4176  3 Sm 3.35-3.58, 6 La 3.37-3.72
11 La 0.8155 0.1179 0.2838  3 La 3.37-3.72, 3 Sm 3.41-3.64, 1 Tb 3.66
12 La 0.8821 0.7162 0.1845  3 La 3.37-3.72, 3 Sm 3.41-3.64, 1 Tb 3.66
13 Tb 0.0000 0.0000 0.0000  6 La 3.66, 6 Sm 3.74
14 Sm 0.0880 0.4425 0.1942  6 La 3.35-3.64, 1 Tb 3.74
15 Sm 0.1942 0.0880 0.4425  6 La 3.35-3.64, 1 Tb 3.74
16 Sm 0.4425 0.1942 0.0880  6 La 3.35-3.64, 1 Tb 3.74
17 Sm 0.5575 0.8058 0.9120  6 La 3.35-3.64, 1 Tb 3.74
18 Sm 0.8058 0.9120 0.5575  6 La 3.35-3.64, 1 Tb 3.74
19 Sm 0.9120 0.5575 0.8058  6 La 3.35-3.64, 1 Tb 3.74

***

# 3
Entry from Alexandria via LeMat-Bulk: a geometry-optimized La5Tb6Sm structure (PBE-GGA).

Cell lengths 9.6393, 9.6393, 9.6393 Å; angles 148.60, 116.77, 72.30 degrees
Last column: nearest neighbours and their distance in Å.
Fractional coordinates of all 12 atoms:
1 La 0.0000 0.0000 0.0000  8 Tb 3.62-3.64, 4 La 3.68
2 La 0.1667 0.6667 0.5000  8 Tb 3.62-3.64, 4 La 3.68-3.69
3 La 0.3345 0.3345 0.0000  8 Tb 3.60-3.65, 2 Sm 3.67, 2 La 3.69
4 La 0.6655 0.6655 0.0000  8 Tb 3.60-3.65, 2 Sm 3.67, 2 La 3.69
5 La 0.8333 0.3333 0.5000  8 Tb 3.62-3.64, 4 La 3.68-3.69
6 Tb 0.0846 0.8339 0.2507  1 Sm 3.61, 7 La 3.62-3.65, 4 Tb 3.67-3.69
7 Tb 0.2510 0.5000 0.7510  6 La 3.60-3.64, 2 Sm 3.62, 4 Tb 3.67
8 Tb 0.4168 0.1661 0.2507  1 Sm 3.61, 7 La 3.62-3.65, 4 Tb 3.67-3.69
9 Tb 0.5832 0.8339 0.7493  1 Sm 3.61, 7 La 3.62-3.65, 4 Tb 3.67-3.69
10 Tb 0.7490 0.5000 0.2490  6 La 3.60-3.64, 2 Sm 3.62, 4 Tb 3.67
11 Tb 0.9154 0.1661 0.7493  1 Sm 3.61, 7 La 3.62-3.65, 4 Tb 3.67-3.69
12 Sm 0.5000 0.0000 0.5000  8 Tb 3.61-3.62, 4 La 3.67

***

# 4
Entry from Alexandria via LeMat-Bulk: a geometry-optimized La9TbSm4 structure (PBE-GGA).

Cell lengths 10.0708, 10.0708, 11.6316 Å; angles 90.00, 90.00, 120.00 degrees
Last column: nearest neighbours and their distance in Å.
Fractional coordinates of all 28 atoms:
1 La 0.0799 0.5399 0.2500  2 Sm 3.36, 1 Tb 3.60
2 La 0.2071 0.4143 0.5303  1 Tb 3.37, 2 Sm 3.63-3.66, 2 La 3.68
3 La 0.2071 0.4143 0.9697  1 Tb 3.37, 2 Sm 3.63-3.66, 2 La 3.68
4 La 0.2071 0.7929 0.5303  1 Tb 3.37, 2 Sm 3.63-3.66, 2 La 3.68
5 La 0.2071 0.7929 0.9697  1 Tb 3.37, 2 Sm 3.63-3.66, 2 La 3.68
6 La 0.4143 0.2071 0.0303  1 Tb 3.37, 2 Sm 3.63-3.66, 2 La 3.68
7 La 0.4143 0.2071 0.4697  1 Tb 3.37, 2 Sm 3.63-3.66, 2 La 3.68
8 La 0.4601 0.5399 0.2500  2 Sm 3.36, 1 Tb 3.60
9 La 0.4601 0.9201 0.2500  2 Sm 3.36, 1 Tb 3.60
10 La 0.5399 0.0799 0.7500  2 Sm 3.36, 1 Tb 3.60
11 La 0.5399 0.4601 0.7500  2 Sm 3.36, 1 Tb 3.60
12 La 0.5857 0.7929 0.5303  1 Tb 3.37, 2 Sm 3.63-3.66, 2 La 3.68
13 La 0.5857 0.7929 0.9697  1 Tb 3.37, 2 Sm 3.63-3.66, 2 La 3.68
14 La 0.7929 0.2071 0.0303  1 Tb 3.37, 2 Sm 3.63-3.66, 2 La 3.68
15 La 0.7929 0.2071 0.4697  1 Tb 3.37, 2 Sm 3.63-3.66, 2 La 3.68
16 La 0.7929 0.5857 0.0303  1 Tb 3.37, 2 Sm 3.63-3.66, 2 La 3.68
17 La 0.7929 0.5857 0.4697  1 Tb 3.37, 2 Sm 3.63-3.66, 2 La 3.68
18 La 0.9201 0.4601 0.7500  2 Sm 3.36, 1 Tb 3.60
19 Tb 0.3333 0.6667 0.7500  9 La 3.37-3.60
20 Tb 0.6667 0.3333 0.2500  9 La 3.37-3.60
21 Sm 0.0000 0.0000 0.0000  6 Sm 3.50, 6 La 3.63
22 Sm 0.0000 0.0000 0.5000  6 Sm 3.50, 6 La 3.63
23 Sm 0.1118 0.2237 0.2500  4 La 3.36-3.66, 4 Sm 3.38-3.50
24 Sm 0.1118 0.8882 0.2500  4 La 3.36-3.66, 4 Sm 3.38-3.50
25 Sm 0.2237 0.1118 0.7500  4 La 3.36-3.66, 4 Sm 3.38-3.50
26 Sm 0.7763 0.8882 0.2500  4 La 3.36-3.66, 4 Sm 3.38-3.50
27 Sm 0.8882 0.1118 0.7500  4 La 3.36-3.66, 4 Sm 3.38-3.50
28 Sm 0.8882 0.7763 0.7500  4 La 3.36-3.66, 4 Sm 3.38-3.50

***

# 5
Entry from Alexandria via LeMat-Bulk: a geometry-optimized LaTb2Sm6 structure (PBE-GGA).

Cell lengths 6.1531, 6.1531, 15.5140 Å; angles 101.41, 101.41, 32.77 degrees
Last column: nearest neighbours and their distance in Å.
Fractional coordinates of all 9 atoms:
1 La 0.0000 0.0000 0.0000  2 La 3.47, 8 Sm 3.51-3.65
2 Tb 0.3317 0.3317 0.3343  2 Tb 3.47, 8 Sm 3.47-3.62
3 Tb 0.6683 0.6683 0.6657  2 Tb 3.47, 8 Sm 3.47-3.62
4 Sm 0.0392 0.0392 0.2326  6 Sm 3.47-3.60, 3 Tb 3.49-3.62, 1 La 3.54
5 Sm 0.2930 0.2930 0.1059  6 Sm 3.47-3.67, 1 Tb 3.48, 3 La 3.51-3.65
6 Sm 0.3737 0.3737 0.5626  7 Sm 3.47-3.88, 4 Tb 3.47-3.61
7 Sm 0.6263 0.6263 0.4374  7 Sm 3.47-3.88, 4 Tb 3.47-3.61
8 Sm 0.7070 0.7070 0.8941  6 Sm 3.47-3.67, 1 Tb 3.48, 3 La 3.51-3.65
9 Sm 0.9608 0.9608 0.7674  6 Sm 3.47-3.60, 3 Tb 3.49-3.62, 1 La 3.54

***

# 6
Entry from Alexandria via LeMat-Bulk: a geometry-optimized LaTb2Sm7 structure (PBE-GGA).

Cell lengths 9.2368, 9.2368, 5.7309 Å; angles 90.00, 90.00, 122.47 degrees
Last column: nearest neighbours and their distance in Å.
Fractional coordinates of all 10 atoms:
1 La 0.0000 0.0000 0.0000  10 Sm 3.66-3.78
2 Tb 0.2967 0.7033 0.5000  7 Sm 3.09-3.32
3 Tb 0.7033 0.2967 0.5000  7 Sm 3.09-3.32
4 Sm 0.0615 0.2953 0.5000  2 Sm 3.17-3.43, 2 Tb 3.18-3.32
5 Sm 0.2260 0.7740 0.0000  2 Tb 3.09
6 Sm 0.2953 0.0615 0.5000  2 Sm 3.17-3.43, 2 Tb 3.18-3.32
7 Sm 0.5000 0.5000 0.5000  2 Tb 3.29, 4 Sm 3.43
8 Sm 0.7047 0.9385 0.5000  2 Sm 3.17-3.43, 2 Tb 3.18-3.32
9 Sm 0.7740 0.2260 0.0000  2 Tb 3.09
10 Sm 0.9385 0.7047 0.5000  2 Sm 3.17-3.43, 2 Tb 3.18-3.32

***

# 7
Entry from Alexandria via LeMat-Bulk: a geometry-optimized La5Tb4Sm structure (PBE-GGA).

Cell lengths 3.6703, 9.6559, 10.3378 Å; angles 106.09, 90.01, 100.87 degrees
Last column: nearest neighbours and their distance in Å.
Fractional coordinates of all 10 atoms:
1 La 0.0000 0.0000 0.0000  8 La 3.64-3.68, 4 Tb 3.71-3.72
2 La 0.1999 0.4002 0.1006  5 Tb 3.62-3.68, 7 La 3.64-3.70
3 La 0.3991 0.7996 0.6953  4 Tb 3.60-3.66, 2 Sm 3.63-3.64, 6 La 3.67-3.70
4 La 0.6009 0.2004 0.3047  4 Tb 3.60-3.66, 2 Sm 3.63-3.64, 6 La 3.67-3.70
5 La 0.8001 0.5998 0.8994  5 Tb 3.62-3.68, 7 La 3.64-3.70
6 Tb 0.1999 0.3993 0.5997  5 La 3.60-3.64, 6 Tb 3.62-3.67, 1 Sm 3.63
7 Tb 0.3992 0.7979 0.2045  2 Sm 3.61-3.62, 4 Tb 3.62-3.67, 6 La 3.62-3.72
8 Tb 0.6008 0.2021 0.7955  2 Sm 3.61-3.62, 4 Tb 3.62-3.67, 6 La 3.62-3.72
9 Tb 0.8001 0.6007 0.4003  5 La 3.60-3.64, 6 Tb 3.62-3.67, 1 Sm 3.63
10 Sm 0.0000 0.0000 0.5000  6 Tb 3.61-3.63, 4 La 3.63-3.64, 2 Sm 3.67

***

# 8
Entry from Alexandria via LeMat-Bulk: a geometry-optimized LaTbSm2 structure (PBE-GGA).

Cell lengths 3.6452, 3.6452, 12.0803 Å; angles 98.71, 98.71, 59.97 degrees
Last column: nearest neighbours and their distance in Å.
Fractional coordinates of all 4 atoms:
1 La 0.0000 0.0000 0.0000  6 La 3.64-3.65, 6 Sm 3.71-3.72
2 Tb 0.1664 0.1664 0.4993  6 Sm 3.56-3.58, 6 Tb 3.64-3.65
3 Sm 0.5826 0.5826 0.7422  3 Tb 3.57-3.58, 6 Sm 3.64-3.65, 3 La 3.71-3.72
4 Sm 0.7533 0.7533 0.2569  3 Tb 3.56-3.57, 6 Sm 3.64-3.65, 3 La 3.71

***

Calculated uncorrected energy, -4.680 -4.642 -4.740 -4.706 -4.535 -4.073 -4.772 -4.729 eV/atom (same order as the records).